1.
The following is a PBE calculation of crystalline Ca2CuW at its relaxed geometry, from the Alexandria database.

DFT total energy = -4.31 eV/atom
distance to the lowest polymorph of the same formula = 0.403 eV per atom
magnetization = 2.8 μB/cell
calculated formation energy = 0.955 eV/atom
symmetry = F-43m

a = 4.9905 Å, b = 4.9905 Å, c = 4.9905 Å
α = 60.00°, β = 60.00°, γ = 60.00°
Last column: magnetic moment on the atom in μB.
Fractional coordinates of all 4 atoms:
1 Ca 0.0000 0.0000 0.0000  0.11
2 Ca 0.2500 0.2500 0.2500  0.00
3 Cu 0.5000 0.5000 0.5000  0.14
4 W 0.7500 0.7500 0.7500  1.99

***

2.
The following is a PBE calculation of crystalline CaCuW4 at its relaxed geometry, from the Alexandria database.

DFT total energy = -8.89 eV/atom
magnetization = 0.0 μB/cell
calculated formation energy = 0.757 eV/atom
symmetry = F-43m

a = 5.3978 Å, b = 5.3978 Å, c = 5.3978 Å
α = 60.00°, β = 60.00°, γ = 60.00°
Fractional coordinates of all 6 atoms:
1 Ca 0.7500 0.7500 0.7500
2 Cu 0.0000 0.0000 0.0000
3 W 0.8748 0.3751 0.3751
4 W 0.3751 0.3751 0.8748
5 W 0.3751 0.8748 0.3751
6 W 0.3751 0.3751 0.3751

***

3.
The following is a PBE calculation of crystalline CaCuW2 at its relaxed geometry, from the Alexandria database.

DFT total energy = -7.28 eV/atom
distance to the lowest polymorph of the same formula = 0.243 eV per atom
magnetization = 0.0 μB/cell
calculated formation energy = 0.716 eV/atom
symmetry = P2/m

a = 5.1390 Å, b = 2.7763 Å, c = 5.0020 Å
α = 84.81°, β = 90.00°, γ = 90.00°
Fractional coordinates of all 4 atoms:
1 Ca 0.5000 0.2500 0.2500
2 Cu 0.5000 0.7500 0.7500
3 W 0.0000 0.9245 0.9986
4 W 0.0000 0.5755 0.5014

***

| no. | calculated density (Mg/m³) |
| --- | --- |
| 1 | 6.2 |
| 2 | 12.5 |
| 3 | 11.0 |